No. 1
Below is a relaxed structure of Pm2NdBe, with properties calculated at the GGA-PBE level. Values from VASP.

```
&SYSTEM
  ibrav = 0, nat = 4, ntyp = 3
/
ATOMIC_SPECIES
Pm 145.00 Pm.upf
Nd 144.24 Nd.upf
Be 9.01 Be.upf
CELL_PARAMETERS angstrom
1.762 1.017 11.715
-1.762 1.017 11.715
0.000 -2.035 11.715
ATOMIC_POSITIONS crystal
Pm 0.083 0.083 0.083
Pm 0.917 0.917 0.917
Nd 0.500 0.500 0.500
Be 0.000 0.000 0.000
```

Values from the calculation:
offset from the most stable computed form = 2.41 eV/f.u.
space group = R-3m, No. 166
total moment = 0.0000 μB/atom
Fermi-level density of states = 5.166 states/eV/f.u.
V = 31.506 A^3/atom
ΔE_f = 0.706 eV/atom

---

No. 2
Below is a relaxed structure of PmNd2Be, with properties calculated at the GGA-PBE level. Values from VASP.

```
&SYSTEM
  ibrav = 0, nat = 4, ntyp = 3
/
ATOMIC_SPECIES
Pm 145.00 Pm.upf
Nd 144.24 Nd.upf
Be 9.01 Be.upf
CELL_PARAMETERS angstrom
3.597 0.000 0.000
0.000 3.597 0.000
0.000 0.000 8.782
ATOMIC_POSITIONS crystal
Pm 0.000 0.000 0.000
Nd 0.500 0.500 0.307
Nd 0.500 0.500 0.693
Be 0.000 0.000 0.500
```

Values from the calculation:
offset from the most stable computed form = 0.00 eV/f.u.
space group = P4/mmm, No. 123
total moment = 0.0000 μB/atom
Fermi-level density of states = 4.801 states/eV/f.u.
V = 28.408 A^3/atom
ΔE_f = 0.119 eV/atom

---

No. 3
Below is a relaxed structure of PmNdBeRh, with properties calculated at the GGA-PBE level. Values from VASP.

```
&SYSTEM
  ibrav = 0, nat = 4, ntyp = 4
/
ATOMIC_SPECIES
Pm 145.00 Pm.upf
Nd 144.24 Nd.upf
Be 9.01 Be.upf
Rh 102.91 Rh.upf
CELL_PARAMETERS angstrom
0.000 3.539 3.539
3.539 0.000 3.539
3.539 3.539 0.000
ATOMIC_POSITIONS crystal
Pm 0.000 0.000 0.000
Nd 0.500 0.500 0.500
Be 0.750 0.750 0.750
Rh 0.250 0.250 0.250
```

Values from the calculation:
space group = F-43m, No. 216
total moment = 0.0000 μB/atom
Fermi-level density of states = 2.507 states/eV/f.u.
V = 22.156 A^3/atom
ΔE_f = -0.217 eV/atom

---

No. 4
Below is a relaxed structure of PrNd2Be, with properties calculated at the GGA-PBE level. Values from VASP.

```
&SYSTEM
  ibrav = 0, nat = 4, ntyp = 3
/
ATOMIC_SPECIES
Pr 140.91 Pr.upf
Nd 144.24 Nd.upf
Be 9.01 Be.upf
CELL_PARAMETERS angstrom
3.607 0.000 0.000
0.000 3.607 0.000
0.000 0.000 8.859
ATOMIC_POSITIONS crystal
Pr 0.000 0.000 0.000
Nd 0.500 0.500 0.310
Nd 0.500 0.500 0.690
Be 0.000 0.000 0.500
```

Values from the calculation:
space group = P4/mmm, No. 123
total moment = 0.0000 μB/atom
Fermi-level density of states = 5.152 states/eV/f.u.
V = 28.820 A^3/atom
ΔE_f = 0.116 eV/atom

---

Which formula does entry 1 have?
Pm2NdBe